1.
Dy5AlTl2 | Alexandria via LeMat-Bulk | PBE | optimized geometry; symmetry = No. 140; formation enthalpy at 0 K = -0.249 eV per atom
1.0
8.288 0.000 0.000
0.000 8.288 0.000
-4.144 -4.144 6.591
Dy Al Tl
10 2 4
Direct
0.501 0.689 0.690 Dy
0.811 0.999 0.310 Dy
0.000 0.000 0.000 Dy
0.500 0.500 0.000 Dy
0.189 0.001 0.690 Dy
0.689 0.189 0.690 Dy
0.001 0.501 0.690 Dy
0.311 0.811 0.310 Dy
0.999 0.499 0.310 Dy
0.499 0.311 0.310 Dy
0.750 0.750 0.500 Al
0.250 0.250 0.500 Al
0.142 0.358 0.000 Tl
0.642 0.142 0.000 Tl
0.358 0.858 0.000 Tl
0.858 0.642 0.000 Tl



2.
HgH3Au | Alexandria via LeMat-Bulk | PBE | optimized geometry; symmetry = No. 221; energy above the most stable polymorph in this dataset = 0.00 eV per formula unit
1.0
3.847 0.000 0.000
0.000 3.847 0.000
0.000 0.000 3.847
H Au Hg
3 1 1
Direct
0.000 0.500 0.000 H
0.000 0.000 0.500 H
0.500 0.000 0.000 H
0.000 0.000 0.000 Au
0.500 0.500 0.500 Hg



3.
ZnCuW3 | Alexandria via LeMat-Bulk | PBE | optimized geometry; symmetry = No. 221; formation enthalpy at 0 K = 1.857 eV per atom; energy above the most stable polymorph in this dataset = 0.00 eV per formula unit
1.0
4.504 0.000 0.000
0.000 4.504 0.000
0.000 0.000 4.504
Zn Cu W
1 1 3
Direct
0.500 0.500 0.500 Zn
0.000 0.000 0.000 Cu
0.000 0.500 0.000 W
0.000 0.000 0.500 W
0.500 0.000 0.000 W



4.
La8TbPr4 | Alexandria via LeMat-Bulk | PBE | optimized geometry; symmetry = No. 166; formation enthalpy at 0 K = 0.344 eV per atom
1.0
10.530 -0.001 -5.681
-6.797 9.847 -0.001
-2.950 -2.036 7.132
La Tb Pr
8 1 4
Direct
0.522 0.761 0.283 La
0.478 0.239 0.717 La
0.337 0.169 0.010 La
0.159 0.328 0.990 La
0.663 0.831 0.990 La
0.159 0.831 0.990 La
0.841 0.169 0.010 La
0.841 0.672 0.010 La
0.000 0.500 0.500 Tb
0.000 0.000 0.000 Pr
0.000 0.500 0.000 Pr
0.500 0.500 0.000 Pr
0.500 0.000 0.000 Pr



5.
AcAgS | Alexandria via LeMat-Bulk | PBE | optimized geometry; symmetry = No. 63; E_form (uncorrected) = -1145 meV/atom
1.0
5.849 0.000 -1.663
0.000 9.331 0.000
-4.375 0.000 6.847
Ac Ag S
4 4 4
Direct
0.500 0.917 0.750 Ac
0.000 0.417 0.250 Ac
0.500 0.083 0.250 Ac
0.000 0.583 0.750 Ac
0.249 0.750 0.250 Ag
0.251 0.250 0.750 Ag
0.751 0.250 0.750 Ag
0.749 0.750 0.250 Ag
0.000 0.917 0.750 S
0.500 0.417 0.250 S
0.000 0.083 0.250 S
0.500 0.583 0.750 S



6.
CaTl2GeI6 | Alexandria via LeMat-Bulk | PBE | optimized geometry; symmetry = No. 146; E_form (uncorrected) = -804 meV/atom
1.0
8.387 0.001 0.001
4.194 7.263 0.001
4.194 2.422 7.053
Ca Tl Ge I
1 2 1 6
Direct
0.822 0.822 0.535 Ca
0.529 0.529 0.413 Tl
0.030 0.030 0.911 Tl
0.322 0.322 0.033 Ge
0.577 0.172 0.267 I
0.172 0.984 0.267 I
0.984 0.577 0.267 I
0.474 0.663 0.775 I
0.663 0.089 0.775 I
0.089 0.474 0.775 I



Please write out number 5 again, unchanged.
AcAgS | Alexandria via LeMat-Bulk | PBE | optimized geometry; symmetry = No. 63; E_form (uncorrected) = -1145 meV/atom
1.0
5.849 0.000 -1.663
0.000 9.331 0.000
-4.375 0.000 6.847
Ac Ag S
4 4 4
Direct
0.500 0.917 0.750 Ac
0.000 0.417 0.250 Ac
0.500 0.083 0.250 Ac
0.000 0.583 0.750 Ac
0.249 0.750 0.250 Ag
0.251 0.250 0.750 Ag
0.751 0.250 0.750 Ag
0.749 0.750 0.250 Ag
0.000 0.917 0.750 S
0.500 0.417 0.250 S
0.000 0.083 0.250 S
0.500 0.583 0.750 S



- Which formula does entry 1 have?
  Dy5AlTl2